[1]
A relaxed structure of NbV3. Source: the Alexandria database, functional PBE-GGA. Values from VASP.

Cell and atoms, written as Quantum ESPRESSO input:
```
&SYSTEM
  ibrav = 0, nat = 8, ntyp = 2
/
ATOMIC_SPECIES
Nb 92.91 Nb.upf
V 50.94 V.upf
ATOMIC_POSITIONS crystal
Nb 0.000 0.000 0.000
Nb 0.000 0.500 0.500
V 0.500 0.250 0.750
V 0.500 0.250 0.250
V 0.500 0.750 0.250
V 0.500 0.750 0.750
V 0.000 0.500 0.000
V 0.000 0.000 0.500
CELL_PARAMETERS angstrom
-2.398 -0.933 0.892
0.167 -6.299 -6.138
3.835 -2.425 2.593
```

Energy: -9.29 eV/atom


[2]
A relaxed structure of Nb2V. Source: the Alexandria database, functional PBE-GGA. Values from VASP.

Cell and atoms, written as Quantum ESPRESSO input:
```
&SYSTEM
  ibrav = 0, nat = 3, ntyp = 2
/
ATOMIC_SPECIES
Nb 92.91 Nb.upf
V 50.94 V.upf
ATOMIC_POSITIONS crystal
Nb 0.160 0.160 0.320
Nb 0.840 0.840 0.680
V 0.500 0.500 0.000
CELL_PARAMETERS angstrom
3.205 0.011 -0.012
0.011 3.205 -0.012
-1.629 -1.629 4.904
```

Energy: -9.72 eV/atom


[3]
A relaxed structure of NbV. Source: the Alexandria database, functional PBE-GGA. Values from VASP.

Cell and atoms, written as Quantum ESPRESSO input:
```
&SYSTEM
  ibrav = 0, nat = 2, ntyp = 2
/
ATOMIC_SPECIES
Nb 92.91 Nb.upf
V 50.94 V.upf
ATOMIC_POSITIONS crystal
Nb 0.500 0.500 0.500
V 0.000 0.000 0.000
CELL_PARAMETERS angstrom
-0.232 1.757 -2.630
-2.458 -1.760 -0.959
-1.991 1.968 1.491
```

Energy: -9.55 eV/atom


[4]
A relaxed structure of Nb3V5. Source: the Alexandria database, functional PBE-GGA. Values from VASP.

Cell and atoms, written as Quantum ESPRESSO input:
```
&SYSTEM
  ibrav = 0, nat = 8, ntyp = 2
/
ATOMIC_SPECIES
Nb 92.91 Nb.upf
V 50.94 V.upf
ATOMIC_POSITIONS crystal
Nb 0.000 0.000 0.146
Nb 0.500 0.500 0.000
Nb 0.000 0.000 0.854
V 0.500 0.500 0.724
V 0.000 0.000 0.613
V 0.500 0.500 0.500
V 0.000 0.000 0.387
V 0.500 0.500 0.276
CELL_PARAMETERS angstrom
-0.135 2.652 0.737
-1.399 -0.380 -2.344
-14.233 -3.230 9.021
```

Energy: -9.45 eV/atom


It is found that the ΔH_f (0 K) values, taken in the order of the records, are 0.07 0.03 0.04 0.02 eV/atom.